[1]
Here is crystalline Ac3TbEr3Se8 at its relaxed geometry from Alexandria. Energies are from PBE-GGA.

Structure (CIF):
```
data_Ac3TbEr3Se8
_chemical_formula_sum 'Ac9 Tb3 Er9 Se24'
_space_group_name_H-M_alt 'R -3 m'
_space_group_IT_number 166
_space_group_name_Hall '-R 3 2"'
_cell_length_a 8.3157
_cell_length_b 8.3157
_cell_length_c 21.4235
_cell_angle_alpha 90.00
_cell_angle_beta 90.00
_cell_angle_gamma 120.00
loop_
_atom_site_label
_atom_site_type_symbol
_atom_site_fract_x
_atom_site_fract_y
_atom_site_fract_z
_atom_site_occupancy
Ac1 Ac 0.0000 0.5000 0.0000 1
Tb1 Tb 0.0000 0.0000 0.5000 1
Er1 Er 0.0000 0.5000 0.5000 1
Se1 Se 0.0000 0.0000 0.2393 1
Se2 Se 0.0090 0.5045 0.7583 1
```

Computed properties:
uncorrected formation energy: -1.8411 eV/atom
magnetic moment: 0.000 μB per atom

***

[2]
Here is crystalline ZnCr2WN at its relaxed geometry from Alexandria. Energies are from PBE-GGA.

Structure (CIF):
```
data_ZnCr2WN
_chemical_formula_sum 'Zn1 Cr2 W1 N1'
_space_group_name_H-M_alt 'P 4/m m m'
_space_group_IT_number 123
_space_group_name_Hall '-P 4 2'
_cell_length_a 3.867
_cell_length_b 3.867
_cell_length_c 4.056
_cell_angle_alpha 90.00
_cell_angle_beta 90.00
_cell_angle_gamma 90.00
loop_
_atom_site_label
_atom_site_type_symbol
_atom_site_fract_x
_atom_site_fract_y
_atom_site_fract_z
_atom_site_occupancy
Zn1 Zn 0.000 0.000 0.000 1
Cr1 Cr 0.000 0.500 0.500 1
W1 W 0.500 0.500 0.000 1
N1 N 0.500 0.500 0.500 1
```

Computed properties:
uncorrected formation energy: -0.0443 eV/atom
magnetic moment: 0.071 μB per atom

***

[3]
Here is crystalline K3Li2ReO6 at its relaxed geometry from Alexandria. Energies are from PBE-GGA.

Structure (CIF):
```
data_K3Li2ReO6
_chemical_formula_sum 'K6 Li4 Re2 O12'
_space_group_name_H-M_alt 'C 1 2/m 1'
_space_group_IT_number 12
_space_group_name_Hall '-C 2y'
_cell_length_a 5.571
_cell_length_b 9.738
_cell_length_c 6.197
_cell_angle_alpha 90.00
_cell_angle_beta 106.39
_cell_angle_gamma 90.00
loop_
_atom_site_label
_atom_site_type_symbol
_atom_site_fract_x
_atom_site_fract_y
_atom_site_fract_z
_atom_site_occupancy
K1 K 0.000 0.000 0.000 1
K2 K 0.000 0.322 0.000 1
Li1 Li 0.000 0.172 0.500 1
Re1 Re 0.000 0.500 0.500 1
O1 O 0.206 0.358 0.677 1
O2 O 0.215 0.500 0.308 1
```

Computed properties:
uncorrected formation energy: -1.6946 eV/atom
magnetic moment: 0.000 μB per atom

***

[4]
Here is crystalline FeRe2Ag at its relaxed geometry from Alexandria. Energies are from PBE-GGA.

Structure (CIF):
```
data_FeRe2Ag
_chemical_formula_sum 'Fe2 Re4 Ag2'
_space_group_name_H-M_alt 'I -4 m 2'
_space_group_IT_number 119
_space_group_name_Hall 'I -4 -2'
_cell_length_a 3.924
_cell_length_b 3.924
_cell_length_c 7.596
_cell_angle_alpha 90.00
_cell_angle_beta 90.00
_cell_angle_gamma 90.00
loop_
_atom_site_label
_atom_site_type_symbol
_atom_site_fract_x
_atom_site_fract_y
_atom_site_fract_z
_atom_site_occupancy
Fe1 Fe 0.000 0.000 0.000 1
Re1 Re 0.000 0.000 0.500 1
Re2 Re 0.000 0.500 0.750 1
Ag1 Ag 0.000 0.500 0.250 1
```

Computed properties:
distance to the lowest polymorph of the same formula: 216.5 meV per atom
DFT formation energy: 0.502 eV per atom
magnetic moment: 0.609 μB per atom

***

[5]
Here is crystalline SbHIO2 at its relaxed geometry from Alexandria. Energies are from PBE-GGA.

Structure (CIF):
```
data_SbHIO2
_chemical_formula_sum 'Sb2 H2 I2 O4'
_space_group_name_H-M_alt 'P 1 21/m 1'
_space_group_IT_number 11
_space_group_name_Hall '-P 2yb'
_cell_length_a 6.407
_cell_length_b 4.157
_cell_length_c 7.133
_cell_angle_alpha 90.00
_cell_angle_beta 95.24
_cell_angle_gamma 90.00
loop_
_atom_site_label
_atom_site_type_symbol
_atom_site_fract_x
_atom_site_fract_y
_atom_site_fract_z
_atom_site_occupancy
Sb1 Sb 0.176 0.250 0.412 1
H1 H 0.107 0.250 0.055 1
I1 I 0.461 0.250 0.805 1
O1 O 0.018 0.250 0.160 1
O2 O 0.096 0.750 0.461 1
```

Computed properties:
distance to the lowest polymorph of the same formula: 0.0 meV per atom
magnetic moment: 0.000 μB per atom

***

[6]
Here is crystalline MnSb2P2 at its relaxed geometry from Alexandria. Energies are from PBE-GGA.

Structure (CIF):
```
data_MnSb2P2
_chemical_formula_sum 'Mn1 Sb2 P2'
_space_group_name_H-M_alt 'P -3 m 1'
_space_group_IT_number 164
_space_group_name_Hall '-P 3 2"'
_cell_length_a 3.3450
_cell_length_b 3.3450
_cell_length_c 11.5121
_cell_angle_alpha 90.00
_cell_angle_beta 90.00
_cell_angle_gamma 120.00
loop_
_atom_site_label
_atom_site_type_symbol
_atom_site_fract_x
_atom_site_fract_y
_atom_site_fract_z
_atom_site_occupancy
Mn1 Mn 0.0000 0.0000 0.0000 1
Sb1 Sb 0.3333 0.6667 0.1645 1
P1 P 0.3333 0.6667 0.5530 1
```

Computed properties:
uncorrected formation energy: 0.1335 eV/atom
distance to the lowest polymorph of the same formula: 17.9 meV per atom
magnetic moment: 0.479 μB per atom

***

[7]
Here is crystalline SmHfZnRh at its relaxed geometry from Alexandria. Energies are from PBE-GGA.

Structure (CIF):
```
data_SmHfZnRh
_chemical_formula_sum 'Sm4 Hf4 Zn4 Rh4'
_space_group_name_H-M_alt 'F -4 3 m'
_space_group_IT_number 216
_space_group_name_Hall 'F -4 2 3'
_cell_length_a 6.853
_cell_length_b 6.853
_cell_length_c 6.853
_cell_angle_alpha 90.00
_cell_angle_beta 90.00
_cell_angle_gamma 90.00
loop_
_atom_site_label
_atom_site_type_symbol
_atom_site_fract_x
_atom_site_fract_y
_atom_site_fract_z
_atom_site_occupancy
Sm1 Sm 0.000 0.000 0.000 1
Hf1 Hf 0.000 0.000 0.500 1
Zn1 Zn 0.250 0.250 0.250 1
Rh1 Rh 0.250 0.250 0.750 1
```

Computed properties:
DFT formation energy: -0.384 eV per atom
magnetic moment: 0.000 μB per atom

***

[8]
Here is crystalline CeY2Ag at its relaxed geometry from Alexandria. Energies are from PBE-GGA.

Structure (CIF):
```
data_CeY2Ag
_chemical_formula_sum 'Ce3 Y6 Ag3'
_space_group_name_H-M_alt 'R 3 m'
_space_group_IT_number 160
_space_group_name_Hall 'R 3 -2"'
_cell_length_a 3.5431
_cell_length_b 3.5431
_cell_length_c 31.6658
_cell_angle_alpha 90.00
_cell_angle_beta 90.00
_cell_angle_gamma 120.00
loop_
_atom_site_label
_atom_site_type_symbol
_atom_site_fract_x
_atom_site_fract_y
_atom_site_fract_z
_atom_site_occupancy
Ce1 Ce 0.0000 0.0000 0.0000 1
Y1 Y 0.0000 0.0000 0.2410 1
Y2 Y 0.0000 0.0000 0.4258 1
Ag1 Ag 0.0000 0.0000 0.8336 1
```

Computed properties:
distance to the lowest polymorph of the same formula: 132.7 meV per atom
DFT formation energy: 0.043 eV per atom
magnetic moment: 0.312 μB per atom

***

[9]
Here is crystalline Cs2SbTe at its relaxed geometry from Alexandria. Energies are from PBE-GGA.

Structure (CIF):
```
data_Cs2SbTe
_chemical_formula_sum 'Cs8 Sb4 Te4'
_space_group_name_H-M_alt 'F m -3 m'
_space_group_IT_number 225
_space_group_name_Hall '-F 4 2 3'
_cell_length_a 9.231
_cell_length_b 9.231
_cell_length_c 9.231
_cell_angle_alpha 90.00
_cell_angle_beta 90.00
_cell_angle_gamma 90.00
loop_
_atom_site_label
_atom_site_type_symbol
_atom_site_fract_x
_atom_site_fract_y
_atom_site_fract_z
_atom_site_occupancy
Cs1 Cs 0.250 0.250 0.250 1
Sb1 Sb 0.000 0.000 0.000 1
Te1 Te 0.000 0.000 0.500 1
```

Computed properties:
uncorrected formation energy: -0.2436 eV/atom
distance to the lowest polymorph of the same formula: 378.4 meV per atom
magnetic moment: 0.747 μB per atom

***

[10]
Here is crystalline AcNdEu2 at its relaxed geometry from Alexandria. Energies are from PBE-GGA.

Structure (CIF):
```
data_AcNdEu2
_chemical_formula_sum 'Ac1 Nd1 Eu2'
_space_group_name_H-M_alt 'P 4/m m m'
_space_group_IT_number 123
_space_group_name_Hall '-P 4 2'
_cell_length_a 5.417
_cell_length_b 5.417
_cell_length_c 5.498
_cell_angle_alpha 90.00
_cell_angle_beta 90.00
_cell_angle_gamma 90.00
loop_
_atom_site_label
_atom_site_type_symbol
_atom_site_fract_x
_atom_site_fract_y
_atom_site_fract_z
_atom_site_occupancy
Ac1 Ac 0.000 0.000 0.000 1
Nd1 Nd 0.500 0.500 0.000 1
Eu1 Eu 0.000 0.500 0.500 1
```

Computed properties:
distance to the lowest polymorph of the same formula: 19.9 meV per atom
DFT formation energy: 0.076 eV per atom
magnetic moment: 3.748 μB per atom

***

[11]
Here is crystalline Nd4Pt2C at its relaxed geometry from Alexandria. Energies are from PBE-GGA.

Structure (CIF):
```
data_Nd4Pt2C
_chemical_formula_sum 'Nd8 Pt4 C2'
_space_group_name_H-M_alt 'I 4/m m m'
_space_group_IT_number 139
_space_group_name_Hall '-I 4 2'
_cell_length_a 4.967
_cell_length_b 4.967
_cell_length_c 14.710
_cell_angle_alpha 90.00
_cell_angle_beta 90.00
_cell_angle_gamma 90.00
loop_
_atom_site_label
_atom_site_type_symbol
_atom_site_fract_x
_atom_site_fract_y
_atom_site_fract_z
_atom_site_occupancy
Nd1 Nd 0.000 0.000 0.177 1
Nd2 Nd 0.000 0.500 0.000 1
Pt1 Pt 0.000 0.000 0.370 1
C1 C 0.000 0.000 0.000 1
```

Computed properties:
DFT formation energy: -0.490 eV per atom
magnetic moment: 0.000 μB per atom

***

[12]
Here is crystalline Hf3Cu2Rh at its relaxed geometry from Alexandria. Energies are from PBE-GGA.

Structure (CIF):
```
data_Hf3Cu2Rh
_chemical_formula_sum 'Hf6 Cu4 Rh2'
_space_group_name_H-M_alt 'C m m m'
_space_group_IT_number 65
_space_group_name_Hall '-C 2 2'
_cell_length_a 4.559
_cell_length_b 13.659
_cell_length_c 3.310
_cell_angle_alpha 90.00
_cell_angle_beta 90.00
_cell_angle_gamma 90.00
loop_
_atom_site_label
_atom_site_type_symbol
_atom_site_fract_x
_atom_site_fract_y
_atom_site_fract_z
_atom_site_occupancy
Hf1 Hf 0.000 0.000 0.000 1
Hf2 Hf 0.000 0.334 0.000 1
Cu1 Cu 0.000 0.169 0.500 1
Rh1 Rh 0.000 0.500 0.500 1
```

Computed properties:
distance to the lowest polymorph of the same formula: 0.0 meV per atom
DFT formation energy: -0.381 eV per atom
magnetic moment: 0.000 μB per atom